# 1
12
Lattice="-1.8395 -2.5203 6.0289 2.6303 -6.3597 1.1413 7.3227 2.1260 6.1158" Properties=species:S:1:pos:R:3 comment="CsMn2InBr8 | Alexandria | PBE-GGA | relaxed" space_group="P-1, No. 2" m_tot_mub_per_fu=10.00 e_tot_ev_per_atom=-3.8583 formation_energy_uncorrected_mev_per_atom=-915 pbc="T T T"
Br 5.6878 0.4875 7.3926
Br 2.7712 -4.6006 3.3332
Br 4.5295 -4.7609 7.5782
Br 2.4257 -7.2415 5.8934
Br 7.7707 -2.7444 6.2821
Br 3.5840 -1.9931 5.7079
Br 5.3423 -2.1534 9.9528
Br 0.3427 -4.0096 7.0039
Cs 3.6613 1.0630 3.0579
In 0.0000 0.0000 0.0000
Mn 5.5356 -2.2396 7.3801
Mn 2.5779 -4.5144 5.9060



# 2
9
Lattice="-0.4523 6.9588 0.1502 -3.1276 3.4061 -5.2221 -7.0613 -0.5423 3.8760" Properties=species:S:1:pos:R:3 comment="CsMnInBr6 | Alexandria | PBE-GGA | relaxed" space_group="P312, No. 149" m_tot_mub_per_fu=0.89 e_tot_ev_per_atom=-3.3660 dos_at_fermi_per_ev_atom=0.750 formation_energy_uncorrected_mev_per_atom=-833 pbc="T T T"
Br -5.5752 7.6348 -3.6910
Br -7.2648 8.5538 -0.6204
Br -6.2953 5.4718 0.7147
Br -4.4754 4.7258 -2.0944
Br -3.9091 7.8467 -0.6253
Br -7.9834 5.5987 -2.3437
Mn -5.9173 6.6388 -1.4434
In -4.7239 3.1838 0.2472
Cs -7.5135 6.4164 4.0261



# 3
18
Lattice="9.0730 0.0000 0.0000 0.0000 9.0730 0.0000 -4.5365 -4.5365 7.8097" Properties=species:S:1:pos:R:3 comment="CsMnIn2Br5 | Alexandria | PBE-GGA | relaxed" space_group="I4/mcm, No. 140" m_tot_mub_per_fu=4.98 e_tot_ev_per_atom=-3.6196 dos_at_fermi_per_ev_atom=0.000 formation_energy_uncorrected_mev_per_atom=-968 pbc="T T T"
Br -3.1771 1.3594 5.4937
Br 0.0000 0.0000 0.0000
Br 4.5365 4.5365 0.0000
Br 1.3594 5.8958 2.3160
Br 3.1771 -1.3594 5.4937
Br -1.3594 -3.1771 5.4937
Br 1.3594 3.1771 5.4937
Br 7.7136 3.1771 2.3160
Br 5.8958 7.7136 2.3160
Br 3.1771 1.3594 2.3160
Cs 4.5365 4.5365 3.9048
Cs 0.0000 0.0000 3.9048
Mn 4.5365 0.0000 3.9048
Mn 0.0000 4.5365 3.9048
In 1.5169 3.0196 0.0000
In 7.5561 6.0534 0.0000
In 3.0196 7.5561 0.0000
In 6.0534 1.5169 0.0000



# 4
10
Lattice="8.1399 0.0000 0.0000 0.0000 8.1399 0.0000 4.0700 4.0700 5.7546" Properties=species:S:1:pos:R:3 comment="Cs2InMoBr6 | Alexandria | PBE-GGA | relaxed" space_group="Fm-3m, No. 225" m_tot_mub_per_fu=3.00 e_tot_ev_per_atom=-3.6137 dos_at_fermi_per_ev_atom=0.000 formation_energy_uncorrected_mev_per_atom=-1082 pbc="T T T"
Mo 4.0700 4.0700 0.0000
Br 2.2142 5.9257 0.0000
Br 4.0700 4.0700 2.6246
Br 5.9257 2.2142 0.0000
Br 8.1399 8.1399 3.1301
Br 5.9257 5.9257 0.0000
Br 2.2142 2.2142 0.0000
Cs 8.1399 4.0700 2.8773
Cs 4.0700 8.1399 2.8773
In 0.0000 0.0000 0.0000



# 5
12
Lattice="7.2042 0.0000 0.0000 3.6021 6.2390 0.0000 3.6021 2.0797 10.3085" Properties=species:S:1:pos:R:3 comment="CsNaIn2Br8 | Alexandria | PBE-GGA | relaxed" space_group="R-3, No. 148" m_tot_mub_per_fu=0.00 e_tot_ev_per_atom=-2.8844 dos_at_fermi_per_ev_atom=0.000 formation_energy_uncorrected_mev_per_atom=-1132 pbc="T T T"
Br 6.0884 6.1491 1.7902
Br 4.9231 4.1878 8.5182
Br 8.3694 6.1206 8.5182
Br 6.0390 2.1981 1.7902
Br 3.6021 2.0797 5.0828
Br 9.4853 4.1309 1.7902
Br 8.3201 2.1696 8.5182
Br 10.8064 6.2390 5.2257
Na 0.0000 0.0000 0.0000
In 3.6021 2.0797 2.5324
In 10.8064 6.2390 7.7761
Cs 7.2042 4.1594 5.1542



# 6
20
Lattice="9.8882 0.0000 0.0000 -3.2961 9.3227 0.0000 -3.2961 -4.6614 8.0737" Properties=species:S:1:pos:R:3 comment="Cs4NaIn3Br12 | Alexandria | PBE-GGA | relaxed" space_group="Im-3m, No. 229" m_tot_mub_per_fu=0.00 e_tot_ev_per_atom=-2.9310 dos_at_fermi_per_ev_atom=0.143 formation_energy_uncorrected_mev_per_atom=-1280 pbc="T T T"
Br -1.6966 1.1997 2.0779
Br 1.6480 5.8267 2.0184
Br 4.9441 0.0000 4.0368
Br 4.8956 -3.4617 5.9958
Br -1.6480 4.6614 4.0368
Br 1.6966 -1.1997 2.0779
Br 4.9441 3.4960 2.0184
Br -4.8956 3.4617 5.9958
Br 1.6480 -1.1653 6.0553
Br 1.6966 2.3993 0.0000
Br 4.8956 6.9234 0.0000
Br -1.6480 1.1653 6.0553
In 3.2961 4.6614 0.0000
In 3.2961 -2.3307 4.0368
In -3.2961 2.3307 4.0368
Cs 4.9441 0.0000 0.0000
Cs 1.6480 2.3307 4.0368
Cs -1.6480 -2.3307 4.0368
Cs -1.6480 4.6614 0.0000
Na 0.0000 0.0000 0.0000



Question: Number 4 is which compound?
Answer: Cs2InMoBr6